(1)
Material: SrPW2
Method: DFT, PBE
State: relaxed

## Properties
Density   7.95 Mg/m³
V   25.40 Å³ per atom
N(E_F)   6.2 states/eV/f.u.
Formation energy   0.75 eV/atom
Total DFT energy (no corrections)   -60.0 eV per cell

POSCAR file:
```
SrPW2
1.0
4.842 0.000 0.000
0.000 4.842 0.000
2.421 2.421 8.669
P W Sr
2 4 2
direct
0.500 0.500 0.000
0.250 0.750 0.500
0.346 0.625 0.250
0.404 0.125 0.250
0.875 0.654 0.750
0.375 0.596 0.750
0.750 0.250 0.500
0.000 0.000 0.000
```



(2)
Material: KTeP
Method: DFT, PBE
State: relaxed

## Properties
Formation energy (no corrections)   36.22 kJ/mol of atoms
Density   3.88 Mg/m³
V   28.19 Å³ per atom
N(E_F)   2.5 states/eV/f.u.
ΔE to the lowest computed polymorph   830.0 meV per atom
Total DFT energy (no corrections)   -17.0 eV per cell

POSCAR file:
```
KTeP
1.0
4.163 3.328 -1.205
-5.147 1.738 -0.593
0.031 2.192 6.161
Te K P
2 2 2
direct
0.333 0.667 0.750
0.667 0.333 0.250
0.333 0.667 0.250
0.667 0.333 0.750
0.000 0.000 0.500
0.000 0.000 0.000
```



(3)
Material: TbSmN
Method: DFT, PBE
State: relaxed

## Properties
Formation energy (no corrections)   -32.05 kJ/mol of atoms
Density   9.48 Mg/m³
V   18.87 Å³ per atom
N(E_F)   1.2 states/eV/f.u.
ΔE to the lowest computed polymorph   633.4 meV per atom
Total DFT energy (no corrections)   -18.7 eV per cell

POSCAR file:
```
TbSmN
1.0
4.310 0.000 0.000
2.155 3.732 0.000
2.155 1.244 3.519
Sm Tb N
1 1 1
direct
0.500 0.500 0.500
0.000 0.000 0.000
0.250 0.250 0.250
```